Crystalline CdCuTe3 at its relaxed geometry. Source: Alexandria via LeMat-Bulk, functional PBE-GGA.

Formation energy (no corrections) = 34.7 kJ/mol of atoms
Calculated total energy = -0.186 Ry/atom
ΔE to the lowest computed polymorph = 0.000 eV per atom
Fermi-level density of states = 5.68 states/eV/f.u.

Cell and atoms, written as CIF:
```
data_CdCuTe3
_chemical_formula_sum 'Cd1 Cu1 Te3'
_symmetry_space_group_name_H-M 'P 1'
_symmetry_Int_Tables_number 1
_symmetry_space_group_name_Hall 'P 1'
_cell_length_a 5.1712
_cell_length_b 5.1712
_cell_length_c 5.1712
_cell_angle_alpha 90.00
_cell_angle_beta 90.00
_cell_angle_gamma 90.00
loop_
_atom_site_label
_atom_site_fract_x
_atom_site_fract_y
_atom_site_fract_z
_atom_site_occupancy
Te1 0.5000 0.0000 0.0000 1
Cd1 0.5000 0.5000 0.5000 1
Cu1 0.0000 0.0000 0.0000 1
Te2 0.0000 0.0000 0.5000 1
Te3 0.0000 0.5000 0.0000 1
```